Record 1
The following is a DFT calculation (PBE) of a relaxed structure of SiRh2Se.

Cell: 2.951 2.882 7.210 Å, 90.02 90.00 90.00°
Fractional positions:
Si1 0.500 0.750 0.750
Se1 0.500 0.250 0.250
Rh1 0.000 0.250 0.558
Rh2 0.000 0.250 0.942

Calculated values
DFT total energy (eV/atom): -6.380
M_tot (μB per formula unit): 0.000
Formation energy (no corrections) (eV per atom): -0.4770

---

Record 2
The following is a DFT calculation (PBE) of a relaxed structure of Ti2Co2H.

Cell: 5.362 5.362 4.091 Å, 90.00 90.00 90.00°
Fractional positions:
H1 0.500 0.500 0.000
Ti1 0.176 0.324 0.000
Ti2 0.824 0.676 0.000
Co1 0.655 0.845 0.500
Co2 0.845 0.345 0.500
H2 0.000 0.000 0.000
Ti3 0.676 0.176 0.000
Co3 0.345 0.155 0.500
Ti4 0.324 0.824 0.000
Co4 0.155 0.655 0.500

Calculated values
DFT total energy (eV/atom): -6.621
M_tot (μB per formula unit): 0.000

---

Record 3
The following is a DFT calculation (PBE) of a relaxed structure of NaBiF4.

Cell: 3.718 5.269 5.269 Å, 90.88 90.00 90.00°
Fractional positions:
F1 0.000 0.802 0.802
F2 0.500 0.689 0.311
Bi1 0.000 0.500 0.500
Na1 0.500 0.000 0.000
F3 0.000 0.198 0.198
F4 0.500 0.311 0.689

Calculated values
DFT total energy (eV/atom): -4.646
M_tot (μB per formula unit): 0.000
Formation energy (no corrections) (eV per atom): -2.5318

---

Record 4
The following is a DFT calculation (PBE) of a relaxed structure of Ce4GeRu4.

Cell: 5.128 8.742 8.742 Å, 90.00 90.00 90.00°
Fractional positions:
Ce1 0.887 0.462 0.817
Ce2 0.387 0.183 0.962
Ru1 0.102 0.853 0.997
Ge1 0.750 0.250 0.250
Ce3 0.887 0.038 0.683
Ru2 0.898 0.353 0.497
Ru3 0.898 0.147 0.003
Ce4 0.613 0.817 0.038
Ru4 0.602 0.003 0.353
Ce5 0.387 0.317 0.538
Ru5 0.102 0.647 0.503
Ce6 0.113 0.962 0.317
Ge2 0.250 0.750 0.750
Ce7 0.613 0.683 0.462
Ru6 0.602 0.497 0.147
Ru7 0.398 0.503 0.853
Ce8 0.113 0.538 0.183
Ru8 0.398 0.997 0.647

Calculated values
DFT total energy (eV/atom): -7.679
Formation enthalpy at 0 K (eV/f.u.): -3.65
M_tot (μB per formula unit): 0.000